(1)
Density functional theory data (PBE) for an optimized crystal structure of ErTh3Sb4. Values from VASP.

```
&SYSTEM
  ibrav = 0, nat = 16, ntyp = 3
/
ATOMIC_SPECIES
Sb 121.76 Sb.upf
Er 167.26 Er.upf
Th 232.04 Th.upf
ATOMIC_POSITIONS crystal
Sb 0.001 0.242 0.121
Sb 0.505 0.754 0.630
Sb 0.999 0.758 0.879
Sb 0.495 0.246 0.370
Sb 0.005 0.754 0.370
Sb 0.995 0.246 0.630
Sb 0.499 0.758 0.121
Sb 0.501 0.242 0.879
Er 0.750 0.000 0.876
Er 0.250 0.000 0.124
Th 0.750 0.500 0.625
Th 0.250 0.500 0.375
Th 0.750 0.500 0.125
Th 0.750 0.000 0.375
Th 0.250 0.000 0.625
Th 0.250 0.500 0.875
CELL_PARAMETERS angstrom
7.754 0.087 0.000
-2.635 7.285 0.000
0.000 0.000 8.911
```

Values from the calculation:
Its uncorrected formation energy is -950 meV per atom.

(2)
Density functional theory data (PBE) for an optimized crystal structure of ErThSb2. Values from VASP.

```
&SYSTEM
  ibrav = 0, nat = 4, ntyp = 3
/
ATOMIC_SPECIES
Th 232.04 Th.upf
Sb 121.76 Sb.upf
Er 167.26 Er.upf
ATOMIC_POSITIONS crystal
Th 0.500 0.500 0.500
Sb 0.000 0.500 0.000
Sb 0.000 0.000 0.500
Er 0.500 0.000 0.000
CELL_PARAMETERS angstrom
3.856 0.000 0.000
0.000 5.380 0.000
0.000 0.000 5.380
```

Values from the calculation:
Its uncorrected formation energy is -786 meV per atom.

(3)
Density functional theory data (PBE) for an optimized crystal structure of Er3Th5Sb12. Values from VASP.

```
&SYSTEM
  ibrav = 0, nat = 80, ntyp = 3
/
ATOMIC_SPECIES
Sb 121.76 Sb.upf
Th 232.04 Th.upf
Er 167.26 Er.upf
ATOMIC_POSITIONS crystal
Sb 0.858 0.260 0.432
Sb 0.074 0.171 0.432
Sb 0.926 0.097 0.858
Sb 0.932 0.358 0.260
Sb 0.426 0.068 0.329
Sb 0.403 0.142 0.574
Sb 0.926 0.829 0.568
Sb 0.426 0.358 0.597
Sb 0.829 0.926 0.068
Sb 0.260 0.403 0.829
Sb 0.671 0.240 0.597
Sb 0.903 0.074 0.642
Sb 0.074 0.903 0.142
Sb 0.097 0.926 0.358
Sb 0.171 0.097 0.740
Sb 0.760 0.329 0.903
Sb 0.068 0.426 0.829
Sb 0.142 0.740 0.568
Sb 0.329 0.568 0.426
Sb 0.171 0.074 0.932
Sb 0.358 0.932 0.760
Sb 0.597 0.740 0.671
Sb 0.068 0.642 0.740
Sb 0.740 0.142 0.068
Sb 0.260 0.858 0.932
Sb 0.671 0.432 0.574
Sb 0.240 0.671 0.097
Sb 0.858 0.597 0.926
Sb 0.642 0.574 0.903
Sb 0.097 0.171 0.240
Sb 0.642 0.068 0.240
Sb 0.568 0.329 0.926
Sb 0.597 0.858 0.426
Sb 0.358 0.426 0.097
Sb 0.574 0.932 0.671
Sb 0.760 0.432 0.358
Sb 0.829 0.903 0.260
Sb 0.932 0.574 0.171
Sb 0.574 0.642 0.403
Sb 0.403 0.260 0.329
Sb 0.903 0.829 0.760
Sb 0.432 0.760 0.858
Sb 0.329 0.760 0.403
Sb 0.568 0.240 0.142
Sb 0.240 0.568 0.642
Sb 0.432 0.671 0.074
Sb 0.142 0.403 0.074
Sb 0.740 0.597 0.171
Th 0.750 0.625 0.375
Th 0.000 0.500 0.000
Th 0.500 0.500 0.000
Th 0.125 0.750 0.375
Th 0.375 0.250 0.125
Th 0.875 0.250 0.625
Th 0.250 0.375 0.625
Th 0.000 0.000 0.500
Th 0.000 0.000 0.000
Th 0.625 0.750 0.875
Th 0.250 0.875 0.125
Th 0.875 0.625 0.750
Th 0.000 0.500 0.500
Th 0.500 0.000 0.000
Th 0.125 0.375 0.250
Th 0.750 0.125 0.875
Th 0.500 0.000 0.500
Th 0.625 0.875 0.250
Th 0.375 0.125 0.750
Th 0.500 0.500 0.500
Er 0.750 0.875 0.625
Er 0.250 0.625 0.875
Er 0.625 0.375 0.750
Er 0.125 0.250 0.875
Er 0.750 0.375 0.125
Er 0.875 0.125 0.250
Er 0.375 0.625 0.250
Er 0.250 0.125 0.375
Er 0.375 0.750 0.625
Er 0.625 0.250 0.375
Er 0.125 0.875 0.750
Er 0.875 0.750 0.125
CELL_PARAMETERS angstrom
-10.039 11.870 -1.964
-5.026 -9.222 11.630
14.161 5.674 3.581
```

Values from the calculation:
Its uncorrected formation energy is -283 meV per atom.

(4)
Density functional theory data (PBE) for an optimized crystal structure of ErTh4Sb5. Values from VASP.

```
&SYSTEM
  ibrav = 0, nat = 10, ntyp = 3
/
ATOMIC_SPECIES
Th 232.04 Th.upf
Sb 121.76 Sb.upf
Er 167.26 Er.upf
ATOMIC_POSITIONS crystal
Th 0.199 0.199 0.398
Th 0.801 0.801 0.602
Th 0.400 0.400 0.800
Th 0.600 0.600 0.200
Sb 0.500 0.500 0.000
Sb 0.700 0.700 0.401
Sb 0.300 0.300 0.599
Sb 0.097 0.097 0.194
Sb 0.903 0.903 0.806
Er 0.000 0.000 0.000
CELL_PARAMETERS angstrom
4.485 0.000 0.000
0.000 4.485 0.000
-2.243 -2.243 15.813
```

Values from the calculation:
Its uncorrected formation energy is -938 meV per atom.

(5)
Density functional theory data (PBE) for an optimized crystal structure of ErTh4Sb5. Values from VASP.

```
&SYSTEM
  ibrav = 0, nat = 10, ntyp = 3
/
ATOMIC_SPECIES
Sb 121.76 Sb.upf
Th 232.04 Th.upf
Er 167.26 Er.upf
ATOMIC_POSITIONS crystal
Sb 0.799 0.299 0.598
Sb 0.201 0.701 0.402
Sb 0.404 0.904 0.809
Sb 0.000 0.500 0.000
Sb 0.596 0.096 0.191
Th 0.400 0.400 0.800
Th 0.802 0.802 0.604
Th 0.600 0.600 0.200
Th 0.198 0.198 0.396
Er 0.000 0.000 0.000
CELL_PARAMETERS angstrom
-1.536 -2.525 3.360
5.728 -2.628 0.643
0.752 10.576 5.312
```

Values from the calculation:
Its uncorrected formation energy is -938 meV per atom.

(6)
Density functional theory data (PBE) for an optimized crystal structure of Er2Th2Sb3. Values from VASP.

```
&SYSTEM
  ibrav = 0, nat = 7, ntyp = 3
/
ATOMIC_SPECIES
Er 167.26 Er.upf
Th 232.04 Th.upf
Sb 121.76 Sb.upf
ATOMIC_POSITIONS crystal
Er 0.624 0.249 0.867
Er 0.376 0.751 0.133
Th 0.889 0.778 0.605
Th 0.111 0.222 0.395
Sb 0.000 0.000 0.000
Sb 0.260 0.519 0.757
Sb 0.740 0.481 0.243
CELL_PARAMETERS angstrom
-0.506 3.720 2.035
-5.715 -4.306 1.965
4.800 -2.226 5.266
```

Values from the calculation:
Its uncorrected formation energy is -672 meV per atom.

(7)
Density functional theory data (PBE) for an optimized crystal structure of ErTmTh2Sb5. Values from VASP.

```
&SYSTEM
  ibrav = 0, nat = 9, ntyp = 4
/
ATOMIC_SPECIES
Sb 121.76 Sb.upf
Tm 168.93 Tm.upf
Th 232.04 Th.upf
Er 167.26 Er.upf
ATOMIC_POSITIONS crystal
Sb 0.000 0.000 0.753
Sb 0.500 0.000 0.500
Sb 0.500 0.500 0.000
Sb 0.000 0.500 0.500
Sb 0.000 0.000 0.247
Tm 0.000 0.000 0.500
Th 0.500 0.500 0.701
Th 0.500 0.500 0.299
Er 0.000 0.000 0.000
CELL_PARAMETERS angstrom
-3.947 -0.249 -3.410
-2.579 -3.203 3.219
-4.907 8.998 5.023
```

Values from the calculation:
Its uncorrected formation energy is -214 meV per atom.

(8)
Density functional theory data (PBE) for an optimized crystal structure of ErTm3Th2Sb6. Values from VASP.

```
&SYSTEM
  ibrav = 0, nat = 12, ntyp = 4
/
ATOMIC_SPECIES
Sb 121.76 Sb.upf
Th 232.04 Th.upf
Tm 168.93 Tm.upf
Er 167.26 Er.upf
ATOMIC_POSITIONS crystal
Sb 0.996 0.249 0.992
Sb 0.336 0.410 0.671
Sb 0.004 0.751 0.008
Sb 0.664 0.590 0.329
Sb 0.334 0.926 0.667
Sb 0.666 0.074 0.333
Th 0.835 0.669 0.671
Th 0.165 0.331 0.329
Tm 0.832 0.166 0.665
Tm 0.500 0.500 0.000
Tm 0.168 0.834 0.335
Er 0.500 0.000 0.000
CELL_PARAMETERS angstrom
-1.188 3.792 1.913
3.392 -2.775 7.607
7.984 2.530 -5.140
```

Values from the calculation:
Its uncorrected formation energy is -1019 meV per atom.

(9)
Density functional theory data (PBE) for an optimized crystal structure of Y3ErTh2Sb6. Values from VASP.

```
&SYSTEM
  ibrav = 0, nat = 12, ntyp = 4
/
ATOMIC_SPECIES
Sb 121.76 Sb.upf
Th 232.04 Th.upf
Er 167.26 Er.upf
Y 88.91 Y.upf
ATOMIC_POSITIONS crystal
Sb 0.335 0.924 0.669
Sb 0.997 0.247 0.994
Sb 0.665 0.076 0.331
Sb 0.335 0.412 0.669
Sb 0.003 0.753 0.006
Sb 0.665 0.588 0.331
Th 0.835 0.669 0.671
Th 0.165 0.331 0.329
Er 0.500 0.000 0.000
Y 0.500 0.500 0.000
Y 0.832 0.166 0.665
Y 0.168 0.834 0.335
CELL_PARAMETERS angstrom
-4.252 -1.264 0.030
0.727 -2.244 8.516
-0.616 9.865 0.371
```

Values from the calculation:
Its uncorrected formation energy is -1072 meV per atom.

(10)
Density functional theory data (PBE) for an optimized crystal structure of YEr3Th2Sb6. Values from VASP.

```
&SYSTEM
  ibrav = 0, nat = 12, ntyp = 4
/
ATOMIC_SPECIES
Sb 121.76 Sb.upf
Y 88.91 Y.upf
Th 232.04 Th.upf
Er 167.26 Er.upf
ATOMIC_POSITIONS crystal
Sb 0.335 0.411 0.671
Sb 0.665 0.589 0.329
Sb 0.667 0.075 0.334
Sb 0.997 0.250 0.994
Sb 0.333 0.925 0.666
Sb 0.003 0.750 0.006
Y 0.500 0.000 0.000
Th 0.165 0.331 0.330
Th 0.835 0.669 0.670
Er 0.500 0.500 0.000
Er 0.167 0.834 0.334
Er 0.833 0.166 0.666
CELL_PARAMETERS angstrom
-1.028 2.939 -3.141
-8.391 -0.073 2.678
4.424 5.541 6.850
```

Values from the calculation:
Its uncorrected formation energy is -1048 meV per atom.

(11)
Density functional theory data (PBE) for an optimized crystal structure of YErTh2Sb5. Values from VASP.

```
&SYSTEM
  ibrav = 0, nat = 9, ntyp = 4
/
ATOMIC_SPECIES
Y 88.91 Y.upf
Sb 121.76 Sb.upf
Th 232.04 Th.upf
Er 167.26 Er.upf
ATOMIC_POSITIONS crystal
Y 0.000 0.000 0.000
Sb 0.500 0.000 0.500
Sb 0.000 0.500 0.500
Sb 0.000 0.000 0.248
Sb 0.500 0.500 0.000
Sb 0.000 0.000 0.752
Th 0.500 0.500 0.299
Th 0.500 0.500 0.701
Er 0.000 0.000 0.500
CELL_PARAMETERS angstrom
-4.129 -2.323 -2.230
-0.894 -2.657 4.423
-6.765 8.458 3.714
```

Values from the calculation:
Its uncorrected formation energy is -224 meV per atom.

(12)
Density functional theory data (PBE) for an optimized crystal structure of ErTiSb2. Values from VASP.

```
&SYSTEM
  ibrav = 0, nat = 4, ntyp = 3
/
ATOMIC_SPECIES
Sb 121.76 Sb.upf
Er 167.26 Er.upf
Ti 47.87 Ti.upf
ATOMIC_POSITIONS crystal
Sb 0.741 0.741 0.776
Sb 0.259 0.259 0.224
Er 0.500 0.500 0.500
Ti 0.000 0.000 0.000
CELL_PARAMETERS angstrom
-1.647 -3.084 -2.202
0.054 -3.856 1.483
-6.575 -1.238 2.776
```

Values from the calculation:
Its uncorrected formation energy is -679 meV per atom.

Copy entry 7 word for word.
Density functional theory data (PBE) for an optimized crystal structure of ErTmTh2Sb5. Values from VASP.

```
&SYSTEM
  ibrav = 0, nat = 9, ntyp = 4
/
ATOMIC_SPECIES
Sb 121.76 Sb.upf
Tm 168.93 Tm.upf
Th 232.04 Th.upf
Er 167.26 Er.upf
ATOMIC_POSITIONS crystal
Sb 0.000 0.000 0.753
Sb 0.500 0.000 0.500
Sb 0.500 0.500 0.000
Sb 0.000 0.500 0.500
Sb 0.000 0.000 0.247
Tm 0.000 0.000 0.500
Th 0.500 0.500 0.701
Th 0.500 0.500 0.299
Er 0.000 0.000 0.000
CELL_PARAMETERS angstrom
-3.947 -0.249 -3.410
-2.579 -3.203 3.219
-4.907 8.998 5.023
```

Values from the calculation:
Its uncorrected formation energy is -214 meV per atom.